(1)
First-principles (PBE-GGA) data for crystalline Li2Ce3Bi6 at its relaxed geometry, as listed in Alexandria. Values from VASP.

Cell and atoms, written as Quantum ESPRESSO input:
```
&SYSTEM
  ibrav = 0, nat = 11, ntyp = 3
/
ATOMIC_SPECIES
Bi 208.98 Bi.upf
Ce 140.12 Ce.upf
Li 6.94 Li.upf
CELL_PARAMETERS angstrom
-1.506 3.982 2.109
-4.268 -1.974 0.680
7.341 -6.177 11.552
ATOMIC_POSITIONS crystal
Bi 0.580 0.080 0.161
Bi 0.920 0.420 0.839
Bi 0.281 0.281 0.562
Bi 0.420 0.920 0.839
Bi 0.080 0.580 0.161
Bi 0.719 0.719 0.438
Ce 0.171 0.171 0.342
Ce 0.000 0.000 0.000
Ce 0.829 0.829 0.658
Li 0.632 0.632 0.263
Li 0.368 0.368 0.737
```

Calculated volume: 30.0 A^3/atom
DOS at the Fermi energy: 1.976 states/eV/atom
Energy of formation: -0.457 eV/atom

(2)
First-principles (PBE-GGA) data for crystalline Li3Ce4Bi8 at its relaxed geometry, as listed in Alexandria. Values from VASP.

Cell and atoms, written as Quantum ESPRESSO input:
```
&SYSTEM
  ibrav = 0, nat = 15, ntyp = 3
/
ATOMIC_SPECIES
Ce 140.12 Ce.upf
Bi 208.98 Bi.upf
Li 6.94 Li.upf
CELL_PARAMETERS angstrom
4.557 0.000 0.000
0.000 4.557 0.000
0.000 0.000 20.498
ATOMIC_POSITIONS crystal
Ce 0.000 0.500 0.636
Ce 0.500 0.000 0.886
Ce 0.000 0.500 0.114
Ce 0.500 0.000 0.364
Bi 0.500 0.000 0.588
Bi 0.500 0.500 0.239
Bi 0.500 0.000 0.073
Bi 0.000 0.500 0.927
Bi 0.500 0.500 0.761
Bi 0.000 0.000 0.239
Bi 0.000 0.500 0.412
Bi 0.000 0.000 0.761
Li 0.000 0.000 0.000
Li 0.500 0.500 0.500
Li 0.000 0.000 0.500
```

Calculated volume: 28.4 A^3/atom
DOS at the Fermi energy: 1.598 states/eV/atom
Energy of formation: -0.599 eV/atom

(3)
First-principles (PBE-GGA) data for crystalline Li2Ce2Bi3 at its relaxed geometry, as listed in Alexandria. Values from VASP.

Cell and atoms, written as Quantum ESPRESSO input:
```
&SYSTEM
  ibrav = 0, nat = 7, ntyp = 3
/
ATOMIC_SPECIES
Li 6.94 Li.upf
Bi 208.98 Bi.upf
Ce 140.12 Ce.upf
CELL_PARAMETERS angstrom
4.554 0.000 0.000
0.000 7.137 -2.168
-2.277 -3.714 7.147
ATOMIC_POSITIONS crystal
Li 0.254 0.394 0.508
Li 0.746 0.606 0.492
Bi 0.149 0.626 0.298
Bi 0.000 0.000 0.000
Bi 0.851 0.374 0.702
Ce 0.420 0.172 0.841
Ce 0.580 0.828 0.159
```

Calculated volume: 27.9 A^3/atom
DOS at the Fermi energy: 2.048 states/eV/atom
Energy of formation: -0.578 eV/atom

(4)
First-principles (PBE-GGA) data for crystalline LiCeBi at its relaxed geometry, as listed in Alexandria. Values from VASP.

Cell and atoms, written as Quantum ESPRESSO input:
```
&SYSTEM
  ibrav = 0, nat = 3, ntyp = 3
/
ATOMIC_SPECIES
Ce 140.12 Ce.upf
Bi 208.98 Bi.upf
Li 6.94 Li.upf
CELL_PARAMETERS angstrom
3.905 0.000 0.000
0.000 3.905 0.000
-1.953 -1.953 5.436
ATOMIC_POSITIONS crystal
Ce 0.611 0.611 0.222
Bi 0.925 0.925 0.849
Li 0.314 0.314 0.629
```

Calculated volume: 27.6 A^3/atom
DOS at the Fermi energy: 2.224 states/eV/atom
ΔE to the lowest computed polymorph: 331 meV/atom
Energy of formation: -0.258 eV/atom

(5)
First-principles (PBE-GGA) data for crystalline LiCeBi2 at its relaxed geometry, as listed in Alexandria. Values from VASP.

Cell and atoms, written as Quantum ESPRESSO input:
```
&SYSTEM
  ibrav = 0, nat = 4, ntyp = 3
/
ATOMIC_SPECIES
Bi 208.98 Bi.upf
Li 6.94 Li.upf
Ce 140.12 Ce.upf
CELL_PARAMETERS angstrom
-1.716 -2.798 1.300
2.951 -1.922 -0.241
2.271 2.451 8.272
ATOMIC_POSITIONS crystal
Bi 0.000 0.000 0.769
Bi 0.000 0.000 0.231
Li 0.500 0.500 0.000
Ce 0.500 0.500 0.500
```

Calculated volume: 27.8 A^3/atom
DOS at the Fermi energy: 1.883 states/eV/atom
ΔE to the lowest computed polymorph: 174 meV/atom
Energy of formation: -0.457 eV/atom

(6)
First-principles (PBE-GGA) data for crystalline LiCe2Bi at its relaxed geometry, as listed in Alexandria. Values from VASP.

Cell and atoms, written as Quantum ESPRESSO input:
```
&SYSTEM
  ibrav = 0, nat = 4, ntyp = 3
/
ATOMIC_SPECIES
Ce 140.12 Ce.upf
Bi 208.98 Bi.upf
Li 6.94 Li.upf
CELL_PARAMETERS angstrom
-0.017 4.723 -2.165
-1.969 1.617 3.543
3.894 0.832 1.784
ATOMIC_POSITIONS crystal
Ce 0.000 0.000 0.500
Ce 0.000 0.500 0.000
Bi 0.500 0.500 0.500
Li 0.500 0.000 0.000
```

Calculated volume: 24.7 A^3/atom
DOS at the Fermi energy: 2.211 states/eV/atom
ΔE to the lowest computed polymorph: 0 meV/atom
Energy of formation: -0.353 eV/atom

(7)
First-principles (PBE-GGA) data for crystalline LiCeBi2 at its relaxed geometry, as listed in Alexandria. Values from VASP.

Cell and atoms, written as Quantum ESPRESSO input:
```
&SYSTEM
  ibrav = 0, nat = 4, ntyp = 3
/
ATOMIC_SPECIES
Bi 208.98 Bi.upf
Li 6.94 Li.upf
Ce 140.12 Ce.upf
CELL_PARAMETERS angstrom
3.527 0.000 0.000
1.763 3.054 0.000
1.763 1.018 10.116
ATOMIC_POSITIONS crystal
Bi 0.742 0.742 0.773
Bi 0.258 0.258 0.227
Li 0.000 0.000 0.000
Ce 0.500 0.500 0.500
```

Calculated volume: 27.2 A^3/atom
DOS at the Fermi energy: 1.609 states/eV/atom
ΔE to the lowest computed polymorph: 276 meV/atom
Energy of formation: -0.356 eV/atom

(8)
First-principles (PBE-GGA) data for crystalline Li3CeBi2 at its relaxed geometry, as listed in Alexandria. Values from VASP.

Cell and atoms, written as Quantum ESPRESSO input:
```
&SYSTEM
  ibrav = 0, nat = 18, ntyp = 3
/
ATOMIC_SPECIES
Ce 140.12 Ce.upf
Bi 208.98 Bi.upf
Li 6.94 Li.upf
CELL_PARAMETERS angstrom
-4.043 -0.771 -1.848
5.885 -0.590 -7.123
0.247 -10.317 3.764
ATOMIC_POSITIONS crystal
Ce 0.168 0.336 0.718
Ce 0.832 0.664 0.282
Ce 0.000 0.000 0.000
Bi 0.645 0.290 0.491
Bi 0.355 0.710 0.509
Bi 0.455 0.911 0.197
Bi 0.192 0.383 0.141
Bi 0.808 0.617 0.859
Bi 0.545 0.089 0.803
Li 0.620 0.240 0.225
Li 0.048 0.095 0.348
Li 0.793 0.586 0.599
Li 0.500 0.000 0.500
Li 0.319 0.637 0.014
Li 0.380 0.760 0.775
Li 0.681 0.363 0.986
Li 0.952 0.905 0.652
Li 0.207 0.414 0.401
```

Calculated volume: 24.2 A^3/atom
DOS at the Fermi energy: 1.103 states/eV/atom
ΔE to the lowest computed polymorph: 70 meV/atom
Energy of formation: -0.572 eV/atom

Q: calculated volume of number 2 (Li3Ce4Bi8)?
A: 28.4 A^3/atom